No. 1
Entry from Alexandria via LeMat-Bulk: a relaxed Li4AsPd3 crystal (PBE-GGA).

Cell: 10.8582 10.8582 2.8100 Å, 90.00 90.00 157.75°
Last column: nearest neighbours and their distance in Å.
Positions (direct):
Li 0.1032 0.8968 0.0000  3 Li 2.53-2.81, 2 As 2.61
Li 0.2220 0.7780 0.0000  3 Li 2.41-2.53
Li 0.7780 0.2220 0.0000  3 Li 2.41-2.53
Li 0.8968 0.1032 0.0000  3 Li 2.53-2.81, 2 As 2.61
As 0.0000 0.0000 0.5000  4 Pd 2.52, 4 Li 2.61, 2 As 2.81
Pd 0.3338 0.6662 0.5000  10 Li 2.77-2.86, 2 Pd 2.81
Pd 0.5000 0.5000 0.0000  4 As 2.52, 2 Pd 2.81
Pd 0.6662 0.3338 0.5000  10 Li 2.77-2.86, 2 Pd 2.81

Output
Crystal system: orthorhombic
Magnetization, μB/atom: 0.00
DOS at the Fermi energy, states/eV/f.u.: 2.27

=====

No. 2
Entry from Alexandria via LeMat-Bulk: a relaxed LiAs2Pd7 crystal (PBE-GGA).

Cell: 10.3896 10.3896 10.3896 Å, 157.62 157.62 31.85°
Last column: nearest neighbours and their distance in Å.
Positions (direct):
Li 0.0000 0.0000 0.0000  12 Pd 2.80-2.85
As 0.3310 0.3310 0.0000  8 Pd 2.47-2.59
As 0.6690 0.6690 0.0000  8 Pd 2.47-2.59
Pd 0.0973 0.5973 0.5000  2 As 2.47
Pd 0.2500 0.7500 0.5000  4 As 2.59, 4 Pd 2.85
Pd 0.4027 0.9027 0.5000  2 As 2.47
Pd 0.5000 0.5000 0.0000  8 Pd 2.80, 4 Li 2.85
Pd 0.5973 0.0973 0.5000  2 As 2.47
Pd 0.7500 0.2500 0.5000  4 As 2.59, 4 Pd 2.85
Pd 0.9027 0.4027 0.5000  2 As 2.47

Output
Crystal system: tetragonal
Magnetization, μB/atom: 0.00
DOS at the Fermi energy, states/eV/f.u.: 4.39

=====

No. 3
Entry from Alexandria via LeMat-Bulk: a relaxed LiAsPd5 crystal (PBE-GGA).

Cell: 5.9713 5.9713 6.4904 Å, 97.72 97.72 106.47°
Last column: nearest neighbours and their distance in Å.
Positions (direct):
Li 0.1885 0.8115 0.7500  7 Pd 2.46-2.70, 2 As 2.73
Li 0.8115 0.1885 0.2500  7 Pd 2.46-2.70, 2 As 2.73
As 0.0000 0.5000 0.0000  6 Pd 2.35-2.58
As 0.5000 0.0000 0.5000  6 Pd 2.35-2.58
Pd 0.1531 0.6111 0.3854  2 Li 2.46-2.70, 2 As 2.48-2.58, 2 Pd 2.68-2.69
Pd 0.1627 0.1862 0.9396  1 As 2.35, 1 Li 2.46
Pd 0.1862 0.1627 0.4396  1 As 2.35, 1 Li 2.46
Pd 0.3889 0.8469 0.1146  2 Li 2.46-2.70, 2 As 2.48-2.58, 2 Pd 2.68-2.69
Pd 0.4547 0.5453 0.7500  1 Li 2.55, 2 Pd 2.77
Pd 0.5453 0.4547 0.2500  1 Li 2.55, 2 Pd 2.77
Pd 0.6111 0.1531 0.8854  2 Li 2.46-2.70, 2 As 2.48-2.58, 2 Pd 2.68-2.69
Pd 0.8138 0.8373 0.5604  1 As 2.35, 1 Li 2.46
Pd 0.8373 0.8138 0.0604  1 As 2.35, 1 Li 2.46
Pd 0.8469 0.3889 0.6146  2 Li 2.46-2.70, 2 As 2.48-2.58, 2 Pd 2.68-2.69

Output
Crystal system: monoclinic
Magnetization, μB/atom: 0.00
DOS at the Fermi energy, states/eV/f.u.: 4.25

=====

No. 4
Entry from Alexandria via LeMat-Bulk: a relaxed Li3As2Pd4 crystal (PBE-GGA).

Cell: 4.3155 4.3155 8.0402 Å, 90.06 90.06 60.03°
Last column: nearest neighbours and their distance in Å.
Positions (direct):
Li 0.0000 0.0000 0.0000  8 Pd 2.59-2.63
Li 0.3334 0.3334 0.5551  3 Li 2.64-2.65, 1 As 2.67, 4 Pd 2.68-2.74
Li 0.6666 0.6666 0.4449  3 Li 2.64-2.65, 1 As 2.67, 4 Pd 2.68-2.74
As 0.3332 0.3332 0.2231  7 Pd 2.62-2.67, 1 Li 2.67
As 0.6668 0.6668 0.7769  7 Pd 2.62-2.67, 1 Li 2.67
Pd 0.9998 0.9998 0.3224  4 Li 2.59-2.68, 3 As 2.62, 1 Pd 2.86
Pd 0.0002 0.0002 0.6776  4 Li 2.59-2.68, 3 As 2.62, 1 Pd 2.86
Pd 0.3333 0.3333 0.8961  4 Li 2.63-2.74, 4 As 2.63-2.67
Pd 0.6667 0.6667 0.1039  4 Li 2.63-2.74, 4 As 2.63-2.67

Output
Crystal system: monoclinic
Magnetization, μB/atom: 0.00
Energy above the lowest structure with this stoichiometry, meV/atom: 46
DOS at the Fermi energy, states/eV/f.u.: 5.22

=====

No. 5
Entry from Alexandria via LeMat-Bulk: a relaxed Li6AsPd12 crystal (PBE-GGA).

Cell: 7.2576 7.2576 7.2576 Å, 110.78 110.78 110.78°
Last column: nearest neighbours and their distance in Å.
Positions (direct):
Li 0.0559 0.3647 0.5738  9 Pd 2.68-2.77, 3 Li 2.77-2.80
Li 0.3648 0.5738 0.0559  9 Pd 2.68-2.77, 3 Li 2.77-2.80
Li 0.4262 0.9441 0.6353  9 Pd 2.68-2.77, 3 Li 2.77-2.80
Li 0.5738 0.0559 0.3648  9 Pd 2.68-2.77, 3 Li 2.77-2.80
Li 0.6353 0.4262 0.9441  9 Pd 2.68-2.77, 3 Li 2.77-2.80
Li 0.9441 0.6352 0.4262  9 Pd 2.68-2.77, 3 Li 2.77-2.80
As 0.0000 0.0000 0.0000  12 Pd 2.75-2.79
Pd 0.1011 0.7358 0.1623  6 Pd 2.69-2.77, 5 Li 2.70-2.77, 1 As 2.75
Pd 0.1623 0.1011 0.7358  6 Pd 2.69-2.77, 5 Li 2.70-2.77, 1 As 2.75
Pd 0.2098 0.4787 0.3162  4 Li 2.68-2.77, 7 Pd 2.69-2.80, 1 As 2.79
Pd 0.2642 0.8377 0.8989  6 Pd 2.69-2.77, 5 Li 2.70-2.77, 1 As 2.75
Pd 0.3162 0.2098 0.4787  4 Li 2.68-2.77, 7 Pd 2.69-2.80, 1 As 2.79
Pd 0.4787 0.3162 0.2098  4 Li 2.68-2.77, 7 Pd 2.69-2.80, 1 As 2.79
Pd 0.5213 0.6838 0.7902  4 Li 2.68-2.77, 7 Pd 2.69-2.80, 1 As 2.79
Pd 0.6838 0.7902 0.5213  4 Li 2.68-2.77, 7 Pd 2.69-2.80, 1 As 2.79
Pd 0.7358 0.1623 0.1011  6 Pd 2.69-2.77, 5 Li 2.70-2.77, 1 As 2.75
Pd 0.7902 0.5213 0.6838  4 Li 2.68-2.77, 7 Pd 2.69-2.80, 1 As 2.79
Pd 0.8377 0.8989 0.2642  6 Pd 2.69-2.77, 5 Li 2.70-2.77, 1 As 2.75
Pd 0.8989 0.2642 0.8377  6 Pd 2.69-2.77, 5 Li 2.70-2.77, 1 As 2.75

Output
Crystal system: trigonal
Magnetization, μB/atom: 0.00
Energy above the lowest structure with this stoichiometry, meV/atom: 0
DOS at the Fermi energy, states/eV/f.u.: 14.90

=====

No. 6
Entry from Alexandria via LeMat-Bulk: a relaxed Li3AsPd3 crystal (PBE-GGA).

Cell: 7.1523 7.1523 4.5336 Å, 90.00 90.00 120.00°
Last column: nearest neighbours and their distance in Å.
Positions (direct):
Li 0.0989 0.4766 0.2500  4 Pd 2.54-2.74, 4 Li 2.67-2.78, 3 As 2.73-2.74
Li 0.3777 0.9011 0.2500  4 Pd 2.54-2.74, 4 Li 2.67-2.78, 3 As 2.73-2.74
Li 0.4766 0.3777 0.7500  4 Pd 2.54-2.74, 4 Li 2.67-2.78, 3 As 2.73-2.74
Li 0.5234 0.6223 0.2500  4 Pd 2.54-2.74, 4 Li 2.67-2.78, 3 As 2.73-2.74
Li 0.6223 0.0989 0.7500  4 Pd 2.54-2.74, 4 Li 2.67-2.78, 3 As 2.73-2.74
Li 0.9011 0.5234 0.7500  4 Pd 2.54-2.74, 4 Li 2.67-2.78, 3 As 2.73-2.74
As 0.3333 0.6667 0.7500  3 Pd 2.55, 9 Li 2.73-2.74
As 0.6667 0.3333 0.2500  3 Pd 2.55, 9 Li 2.73-2.74
Pd 0.0771 0.2598 0.7500  4 Li 2.54-2.74, 1 As 2.55, 4 Pd 2.81
Pd 0.1827 0.9229 0.7500  4 Li 2.54-2.74, 1 As 2.55, 4 Pd 2.81
Pd 0.2598 0.1827 0.2500  4 Li 2.54-2.74, 1 As 2.55, 4 Pd 2.81
Pd 0.7402 0.8173 0.7500  4 Li 2.54-2.74, 1 As 2.55, 4 Pd 2.81
Pd 0.8173 0.0771 0.2500  4 Li 2.54-2.74, 1 As 2.55, 4 Pd 2.81
Pd 0.9229 0.7402 0.2500  4 Li 2.54-2.74, 1 As 2.55, 4 Pd 2.81

Output
Crystal system: hexagonal
Magnetization, μB/atom: 0.00
DOS at the Fermi energy, states/eV/f.u.: 5.25

=====

| no. | E_form (meV/atom) |
| --- | --- |
| 1 | -300 |
| 2 | -358 |
| 3 | -196 |
| 4 | -530 |
| 5 | -318 |
| 6 | -497 |